This record from Alexandria via LeMat-Bulk describes a relaxed AlP2PtCl crystal. The functional is PBE.

Summary:
The energy comes out at -0.2840 Ry/atom. The value obtained for the formation energy without anion corrections is 3.13 eV per formula unit. Its total magnetization is 0.00 μB per atom.

abc: 4.6940 4.6940 4.3567
angles: 90.00 90.00 90.00
With the nearest neighbours (Å) after each atom.
Fractional coordinates of all 5 atoms:
Al  0.0000  0.0000  0.0000  2 Cl 2.18, 4 P 2.35
P  0.0000  0.5000  0.0000  2 Al 2.35
P  0.5000  0.0000  0.0000  2 Al 2.35
Pt  0.5000  0.5000  0.5000  8 P 3.20, 4 Cl 3.32
Cl  0.0000  0.0000  0.5000  2 Al 2.18

=====

This record from Alexandria via LeMat-Bulk describes a relaxed RbAlP2Cl crystal. The functional is PBE.

Summary:
The energy comes out at -0.2720 Ry/atom. The value obtained for the formation energy without anion corrections is -1.13 eV per formula unit. Its total magnetization is 0.00 μB per atom.

abc: 4.6253 4.6253 6.0733
angles: 90.00 90.00 90.00
With the nearest neighbours (Å) after each atom.
Fractional coordinates of all 5 atoms:
Rb  0.0000  0.0000  0.0000  4 Cl 3.27
Al  0.5000  0.5000  0.5000  4 P 2.31
P  0.0000  0.5000  0.5000  2 Al 2.31
P  0.5000  0.0000  0.5000  2 Al 2.31
Cl  0.5000  0.5000  0.0000  2 Al 3.04, 4 Rb 3.27

=====

This record from Alexandria via LeMat-Bulk describes a relaxed RbAlP2Cl crystal. The functional is PBE.

Summary:
The energy comes out at -0.1697 Ry/atom. The value obtained for the formation energy without anion corrections is 5.83 eV per formula unit. Its total magnetization is 1.00 μB per atom.

abc: 6.4053 6.4053 5.9637
angles: 90.00 90.00 90.00
With the nearest neighbours (Å) after each atom.
Fractional coordinates of all 5 atoms:
Rb  0.0000  0.0000  0.0000  2 Cl 2.98, 4 P 3.20
Al  0.5000  0.5000  0.5000  8 P 4.38, 4 Cl 4.53
P  0.0000  0.5000  0.0000  2 Rb 3.20
P  0.5000  0.0000  0.0000  2 Rb 3.20
Cl  0.0000  0.0000  0.5000  2 Rb 2.98

=====

This record from Alexandria via LeMat-Bulk describes a relaxed AlRePCl2 crystal. The functional is PBE.

Summary:
The energy comes out at -0.3207 Ry/atom. The value obtained for the formation energy without anion corrections is 3.48 eV per formula unit. Its total magnetization is 0.94 μB per atom.

abc: 4.4855 4.4855 5.1931
angles: 90.00 90.00 90.00
With the nearest neighbours (Å) after each atom.
Fractional coordinates of all 5 atoms:
Al  0.0000  0.0000  0.0000  4 Cl 2.24
Re  0.5000  0.5000  0.5000  4 P 3.17, 8 Cl 3.43
P  0.0000  0.0000  0.5000  2 Al 2.60
Cl  0.0000  0.5000  0.0000  2 Al 2.24
Cl  0.5000  0.0000  0.0000  2 Al 2.24